Material: CaPr4Sm7
Method: DFT, GGA-PBE
State: optimized geometry

Its calculated volume is 867 Å³/cell. Its calculated formation energy is 0.259 eV/atom. The value obtained for the relative energy among the computed polymorphs is 0.226 eV/atom.

It has space group C2/m (No. 12), with a = 12.327 Å, b = 6.156 Å, c = 12.948 Å, α = 90.00°, β = 118.09° and γ = 90.00°. Symmetry generates all atoms from Ca at (0.000, 0.000, 0.000), Pr at (0.063, 0.500, 0.325), Pr at (0.140, 0.000, 0.778), Sm at (0.000, 0.500, 0.000), Sm at (0.132, 0.000, 0.501), Sm at (0.206, 0.500, 0.923) and Sm at (0.238, 0.500, 0.676).

=====

Material: CaPr6Sm8
Method: DFT, GGA-PBE
State: optimized geometry

Its calculated volume is 1576 Å³/cell. Its calculated formation energy is 0.149 eV/atom.

It has space group R-3 (No. 148, hexagonal axes), with a = 9.9078 Å, b = 9.9078 Å, c = 18.5336 Å, α = 90.00°, β = 90.00° and γ = 120.00°. Symmetry generates all atoms from Ca at (0.0000, 0.0000, 0.0000), Pr at (0.0224, 0.7853, 0.4062), Sm at (0.0000, 0.0000, 0.2310) and Sm at (0.0456, 0.7634, 0.9012).

=====

Material: CaPrSm2
Method: DFT, GGA-PBE
State: optimized geometry

Its calculated volume is 432 Å³/cell. Its calculated formation energy is 0.047 eV/atom. The value obtained for the relative energy among the computed polymorphs is 0.000 eV/atom.

It has space group R3m (No. 160, hexagonal axes), with a = 3.6926 Å, b = 3.6926 Å, c = 36.6173 Å, α = 90.00°, β = 90.00° and γ = 120.00°. Symmetry generates all atoms from Ca at (0.0000, 0.0000, 0.0000), Pr at (0.0000, 0.0000, 0.1658), Sm at (0.0000, 0.0000, 0.5797) and Sm at (0.0000, 0.0000, 0.7526).

=====

These records have DOS at the Fermi energy values of 1.580; 1.309; 1.626 states/eV/atom, in the order they appear.